Computed, not measured: RbInI2O at its PBEsol-relaxed geometry at the SCAN level of DFT.

Unit cell a=6.6144 b=6.6144 c=4.9147 alpha=90.00 beta=90.00 gamma=90.00
Space group P4/mmm (No. 123)
One atom of each set of equivalent atoms:
Rb: 0.0000 0.0000 0.0000 (multiplicity 1)
In: 0.5000 0.5000 0.5000 (multiplicity 1)
I: 0.0000 0.5000 0.0000 (multiplicity 2)
O: 0.0000 0.0000 0.5000 (multiplicity 1)

- Size of the total moment: 2.054 μB/f.u.
- Energy relative to the elements, uncorrected: -70 meV/atom
- Energy: -26.838 eV/atom